1.
Material: PuU2
Method: DFT, GGA-PBE
State: relaxed

Calculated formation energy, eV/atom: 0.18
Calculated volume, Å³/cell: 119.37
VASP energy, eV per atom: -12.122
Offset from the most stable computed form, kJ per mole of atoms: 0.00

Cell: 3.9170 6.0625 5.6616 Å, 82.97 69.76 71.15°
Closest atoms and distances in Å follow each position.
Fractional positions:
Pu1 0.7683 0.6748 0.7886  5 U 2.48-2.60
Pu2 0.2317 0.3252 0.2114  5 U 2.48-2.60
U1 0.4377 0.3805 0.7442  3 Pu 2.50-2.60
U2 0.1564 0.9374 0.7498  2 Pu 2.48, 1 U 2.76
U3 0.8436 0.0626 0.2502  2 Pu 2.48, 1 U 2.76
U4 0.5623 0.6195 0.2558  3 Pu 2.50-2.60



2.
Material: K3AlBi3
Method: DFT, GGA-PBE
State: relaxed

DOS(E_F), states/eV/f.u.: 1.90
Calculated formation energy, eV/atom: -0.24
Calculated volume, Å³/cell: 549.71
VASP energy, eV per atom: -2.907

Cell: 7.5687 7.5687 9.6452 Å, 93.44 93.44 92.93°
Closest atoms and distances in Å follow each position.
Fractional positions:
K1 0.6141 0.6141 0.3662  5 Bi 3.38-3.76, 1 K 3.66
K2 0.1599 0.8401 0.5000  1 K 3.51, 4 Bi 3.53-3.78
K3 0.8401 0.1599 0.5000  1 K 3.51, 4 Bi 3.53-3.78
K4 0.2900 0.7100 0.0000  2 Al 3.61, 4 Bi 3.77-3.87
K5 0.7100 0.2900 0.0000  2 Al 3.61, 4 Bi 3.77-3.87
K6 0.3859 0.3859 0.6338  5 Bi 3.38-3.76, 1 K 3.66
Al1 0.8788 0.8788 0.8700  4 Bi 2.78-2.79
Al2 0.1212 0.1212 0.1300  4 Bi 2.78-2.79
Bi1 0.8570 0.8570 0.1556  2 Al 2.78-2.79
Bi2 0.8582 0.5610 0.7081  1 Al 2.78
Bi3 0.5610 0.8582 0.7081  1 Al 2.78
Bi4 0.1418 0.4390 0.2919  1 Al 2.78
Bi5 0.4390 0.1418 0.2919  1 Al 2.78
Bi6 0.1430 0.1430 0.8444  2 Al 2.78-2.79



3.
Material: Ac3La2PaN6
Method: DFT, GGA-PBE
State: relaxed

DOS(E_F), states/eV/f.u.: 3.50
Calculated volume, Å³/cell: 227.63
VASP energy, eV per atom: -8.114
Raw formation energy, meV/atom: -1312

Cell: 6.5185 6.5185 6.5479 Å, 99.47 99.47 119.96°
Closest atoms and distances in Å follow each position.
Fractional positions:
Ac1 0.1668 0.8332 0.5000  6 N 2.68-2.97
Ac2 0.8332 0.1668 0.5000  6 N 2.68-2.97
Ac3 0.5000 0.5000 0.5000  6 N 2.71-2.91
La1 0.3332 0.6668 0.0000  6 N 2.65-2.69
La2 0.6668 0.3332 0.0000  6 N 2.65-2.69
Pa1 0.0000 0.0000 0.0000  6 N 2.36-2.42
N1 0.9274 0.6292 0.7835  1 Pa 2.36
N2 0.7739 0.7739 0.2281  1 Pa 2.42, 2 Ac 2.68, 2 La 2.69
N3 0.0726 0.3708 0.2165  1 Pa 2.36
N4 0.6292 0.9274 0.7835  1 Pa 2.36
N5 0.2261 0.2261 0.7719  1 Pa 2.42, 2 Ac 2.68, 2 La 2.69
N6 0.3708 0.0726 0.2165  1 Pa 2.36



4.
Material: Li3HoTl2
Method: DFT, GGA-PBE
State: relaxed

DOS(E_F), states/eV/f.u.: 2.33
Calculated formation energy, eV/atom: -0.24
Calculated volume, Å³/cell: 260.15
VASP energy, eV per atom: -2.746

Cell: 4.5838 7.5512 9.1684 Å, 119.06 90.00 107.67°
Closest atoms and distances in Å follow each position.
Fractional positions:
Li1 0.2597 0.5193 0.4286  4 Li 2.72-2.85, 3 Tl 2.93-3.02
Li2 0.9490 0.8981 0.6075  3 Tl 2.83-2.90, 4 Li 2.85-3.00
Li3 0.5917 0.1834 0.6859  3 Tl 2.75-2.80, 4 Li 2.82-3.07
Li4 0.4083 0.8166 0.3141  3 Tl 2.75-2.80, 4 Li 2.82-3.07
Li5 0.0510 0.1019 0.3925  3 Tl 2.83-2.90, 4 Li 2.85-3.00
Li6 0.7403 0.4807 0.5714  4 Li 2.72-2.85, 3 Tl 2.93-3.02
Ho1 0.8658 0.7317 0.9929  7 Tl 3.14-3.43, 3 Li 3.25-3.49
Ho2 0.1342 0.2683 0.0071  7 Tl 3.14-3.43, 3 Li 3.25-3.49
Tl1 0.4414 0.8827 0.7943  4 Li 2.80-3.02, 1 Tl 3.10
Tl2 0.5586 0.1173 0.2057  4 Li 2.80-3.02, 1 Tl 3.10
Tl3 0.7895 0.5791 0.2584  5 Li 2.75-2.93
Tl4 0.2105 0.4209 0.7416  5 Li 2.75-2.93